1.
The following is a DFT calculation (PBE) of Sr2Sb4Ir3 after structural relaxation.

a = 8.691 Å, b = 7.518 Å, c = 6.071 Å
α = 78.73°, β = 58.03°, γ = 43.24°
Positions (direct):
1 Sr 0.126 0.126 0.874
2 Sr 0.874 0.874 0.126
3 Sb 0.191 0.513 0.487
4 Sb 0.487 0.809 0.191
5 Sb 0.513 0.191 0.809
6 Sb 0.809 0.487 0.513
7 Ir 0.000 0.000 0.500
8 Ir 0.500 0.500 0.000
9 Ir 0.500 0.500 0.500

Values from the calculation:
uncorrected formation energy	-0.47	eV per atom

---

2.
The following is a DFT calculation (PBE) of K2AlIn after structural relaxation.

a = 5.715 Å, b = 4.868 Å, c = 6.655 Å
α = 90.00°, β = 115.35°, γ = 90.00°
Positions (direct):
1 K 0.000 0.000 0.000
2 K 0.298 0.500 0.597
3 Al 0.692 0.000 0.386
4 In 0.606 0.500 0.211

Values from the calculation:
offset from the most stable computed form	67.5	meV per atom
formation enthalpy at 0 K	7.7	kJ per mole of atoms

---

3.
The following is a DFT calculation (PBE) of Rb2NaGeO4 after structural relaxation.

a = 5.833 Å, b = 5.833 Å, c = 5.833 Å
α = 107.13°, β = 107.13°, γ = 114.27°
Positions (direct):
1 Rb 0.000 0.500 0.500
2 Rb 0.500 0.000 0.500
3 Na 0.000 0.000 0.000
4 Ge 0.500 0.500 0.000
5 O 0.176 0.453 0.000
6 O 0.453 0.176 0.000
7 O 0.547 0.547 0.723
8 O 0.824 0.824 0.277

Values from the calculation:
uncorrected formation energy	-1.39	eV per atom

---

4.
The following is a DFT calculation (PBE) of ZnFe2Br after structural relaxation.

a = 4.459 Å, b = 4.459 Å, c = 3.087 Å
α = 90.00°, β = 90.00°, γ = 90.00°
Positions (direct):
1 Zn 0.000 0.000 0.000
2 Fe 0.000 0.500 0.500
3 Fe 0.500 0.000 0.500
4 Br 0.500 0.500 0.000

Values from the calculation:
offset from the most stable computed form	390.9	meV per atom
uncorrected formation energy	0.64	eV per atom

---

5.
The following is a DFT calculation (PBE) of ErPaSb after structural relaxation.

a = 6.078 Å, b = 6.078 Å, c = 6.078 Å
α = 142.74°, β = 142.74°, γ = 53.71°
Positions (direct):
1 Er 0.000 0.000 0.000
2 Pa 0.303 0.303 0.000
3 Sb 0.645 0.645 0.000

Values from the calculation:
offset from the most stable computed form	250.8	meV per atom
uncorrected formation energy	-0.25	eV per atom

---

6.
The following is a DFT calculation (PBE) of NbVBr2 after structural relaxation.

a = 4.692 Å, b = 4.692 Å, c = 4.692 Å
α = 60.00°, β = 60.00°, γ = 60.00°
Positions (direct):
1 Nb 0.000 0.000 0.000
2 V 0.500 0.500 0.500
3 Br 0.250 0.250 0.250
4 Br 0.750 0.750 0.750

Values from the calculation:
offset from the most stable computed form	258.1	meV per atom
uncorrected formation energy	0.49	eV per atom

---

In the order shown, the computed E values come out to -50.70; -8.36; -38.86; -17.33; -18.93; -20.56 eV/cell.
In the order shown, the computed total magnetic moment values come out to 0.0; 0.0; 1.0; 5.5; 0.8; 4.0 μB/cell.